--- one ---
{"formula": "HgSb2Cl6", "functional": "PBE", "state": "optimized geometry", "lattice": [[-4.011, -2.533, 3.168], [6.164, -6.756, 7.188], [-2.629, 8.094, 7.930]], "species": ["Cl", "Cl", "Cl", "Cl", "Sb", "Hg", "Cl", "Cl", "Sb", "Sb", "Cl", "Cl", "Cl", "Sb", "Hg", "Cl", "Cl", "Cl"], "frac_coords": [[0.369, 0.367, 0.866], [0.631, 0.633, 0.134], [0.719, 0.891, 0.685], [0.869, 0.866, 0.367], [0.129, 0.261, 0.487], [0.750, 0.000, 0.000], [0.131, 0.134, 0.633], [0.951, 0.513, 0.701], [0.371, 0.513, 0.739], [0.871, 0.739, 0.513], [0.451, 0.701, 0.513], [0.549, 0.299, 0.487], [0.281, 0.109, 0.315], [0.629, 0.487, 0.261], [0.250, 0.000, 0.000], [0.219, 0.685, 0.891], [0.049, 0.487, 0.299], [0.781, 0.315, 0.109]]}

***

--- two ---
{"formula": "HgSb2Cl6", "functional": "PBE", "state": "optimized geometry", "lattice": [[8.844, 0.286, 0.276], [2.833, 9.640, 1.782], [2.833, 2.094, 9.577]], "species": ["Cl", "Hg", "Cl", "Sb", "Cl", "Cl", "Sb", "Cl", "Cl", "Cl", "Cl", "Cl", "Hg", "Sb", "Cl", "Cl", "Sb", "Cl"], "frac_coords": [[0.326, 0.216, 0.222], [0.250, 0.977, 0.023], [0.583, 0.788, 0.459], [0.274, 0.623, 0.646], [0.518, 0.548, 0.216], [0.417, 0.212, 0.541], [0.726, 0.377, 0.354], [0.482, 0.452, 0.784], [0.674, 0.784, 0.778], [0.826, 0.222, 0.216], [0.018, 0.216, 0.548], [0.174, 0.778, 0.784], [0.750, 0.023, 0.977], [0.774, 0.646, 0.623], [0.982, 0.784, 0.452], [0.083, 0.459, 0.788], [0.226, 0.354, 0.377], [0.917, 0.541, 0.212]]}

***

Quick look at relative energies in meV per atom: one 9; two 0.

***

--- one ---
{"formula": "HgSbCl4", "functional": "PBE", "state": "optimized geometry", "lattice": [[0.000, 4.191, 4.191], [4.191, 0.000, 4.191], [4.191, 4.191, 0.000]], "species": ["Cl", "Cl", "Cl", "Hg", "Sb", "Cl"], "frac_coords": [[0.375, 0.375, 0.876], [0.876, 0.375, 0.375], [0.375, 0.375, 0.375], [0.750, 0.750, 0.750], [0.000, 0.000, 0.000], [0.375, 0.876, 0.375]]}

***

--- two ---
{"formula": "HgSbCl4", "functional": "PBE", "state": "optimized geometry", "lattice": [[7.108, 0.229, 0.000], [-1.028, 7.145, 0.000], [-3.040, -3.687, 8.410]], "species": ["Hg", "Cl", "Sb", "Sb", "Cl", "Cl", "Cl", "Cl", "Cl", "Hg", "Cl", "Cl"], "frac_coords": [[0.667, 0.417, 0.834], [0.887, 0.642, 0.651], [0.170, 0.920, 0.841], [0.830, 0.080, 0.159], [0.560, 0.310, 0.129], [0.931, 0.180, 0.871], [0.069, 0.820, 0.129], [0.736, 0.991, 0.349], [0.440, 0.690, 0.871], [0.333, 0.583, 0.166], [0.113, 0.358, 0.349], [0.264, 0.009, 0.651]]}

***

Quick look at relative energies in meV per atom: one 1078; two 0.

***

--- one ---
{"formula": "HgSb3Cl", "functional": "PBE", "state": "optimized geometry", "lattice": [[-1.407, -2.843, -4.409], [2.991, -4.185, 1.745], [-4.310, -1.976, 2.650]], "species": ["Cl", "Hg", "Sb", "Sb", "Sb"], "frac_coords": [[0.000, 0.000, 0.000], [0.500, 0.500, 0.500], [0.500, 0.000, 0.000], [0.000, 0.000, 0.500], [0.000, 0.500, 0.000]]}

***

--- two ---
{"formula": "HgSb3Cl", "functional": "PBE", "state": "optimized geometry", "lattice": [[-1.057, -5.117, -2.036], [2.484, -2.293, 4.474], [-4.915, -0.059, 2.699]], "species": ["Sb", "Hg", "Cl", "Sb", "Sb"], "frac_coords": [[0.000, 0.000, 0.500], [0.000, 0.000, 0.000], [0.500, 0.500, 0.500], [0.500, 0.000, 0.000], [0.000, 0.500, 0.000]]}

***

Quick look at relative energies in meV per atom: one 40; two 0.

***

--- one ---
{"formula": "Hg2Sb2Cl", "functional": "PBE", "state": "optimized geometry", "lattice": [[-0.213, -2.676, -3.372], [-1.781, -3.019, 2.509], [-8.067, -0.112, -2.158]], "species": ["Sb", "Sb", "Hg", "Cl", "Hg"], "frac_coords": [[0.250, 0.750, 0.500], [0.750, 0.250, 0.500], [0.410, 0.410, 0.179], [0.000, 0.000, 0.000], [0.590, 0.590, 0.821]]}

***

--- two ---
{"formula": "Hg2Sb2Cl", "functional": "PBE", "state": "optimized geometry", "lattice": [[-1.457, -7.781, -0.928], [6.704, -1.726, 3.950], [-2.224, -0.032, 3.761]], "species": ["Cl", "Hg", "Sb", "Cl", "Sb", "Sb", "Hg", "Hg", "Hg", "Sb"], "frac_coords": [[0.000, 0.000, 0.000], [0.818, 0.318, 0.500], [0.873, 0.627, 0.000], [0.500, 0.500, 0.000], [0.373, 0.873, 0.000], [0.127, 0.373, 0.000], [0.682, 0.818, 0.500], [0.182, 0.682, 0.500], [0.318, 0.182, 0.500], [0.627, 0.127, 0.000]]}

***

Quick look at relative energies in meV per atom: one 25; two 0.

***

--- one ---
{"formula": "HgSb2TeCl", "functional": "PBE", "state": "optimized geometry", "lattice": [[-3.183, 4.525, 1.033], [-2.890, -2.912, 3.853], [3.605, 1.636, 3.940]], "species": ["Te", "Sb", "Sb", "Hg", "Cl"], "frac_coords": [[0.000, 0.000, 0.500], [0.000, 0.500, 0.000], [0.500, 0.000, 0.000], [0.000, 0.000, 0.000], [0.500, 0.500, 0.500]]}

***

--- two ---
{"formula": "HgSb2TeCl", "functional": "PBE", "state": "optimized geometry", "lattice": [[-3.800, 0.396, -3.745], [-3.466, -2.447, 3.259], [-1.567, 5.049, 2.124]], "species": ["Cl", "Te", "Hg", "Sb", "Sb"], "frac_coords": [[0.000, 0.000, 0.000], [0.000, 0.000, 0.500], [0.500, 0.500, 0.500], [0.500, 0.000, 0.000], [0.000, 0.500, 0.000]]}

***

Quick look at relative energies in meV per atom: one 0; two 56.

***

--- one ---
{"formula": "ScHgCl3", "functional": "PBE", "state": "optimized geometry", "lattice": [[-3.215, -1.655, -3.559], [-1.823, -3.445, 3.248], [-3.476, 3.337, 1.588]], "species": ["Hg", "Cl", "Cl", "Sc", "Cl"], "frac_coords": [[0.500, 0.500, 0.500], [0.000, 0.500, 0.000], [0.500, 0.000, 0.000], [0.000, 0.000, 0.000], [0.000, 0.000, 0.500]]}

***

--- two ---
{"formula": "ScHgCl3", "functional": "PBE", "state": "optimized geometry", "lattice": [[6.158, 0.000, 1.936], [2.775, 5.498, 1.936], [0.010, 0.006, 10.733]], "species": ["Hg", "Cl", "Cl", "Cl", "Sc", "Cl", "Hg", "Cl", "Sc", "Cl"], "frac_coords": [[0.664, 0.664, 0.009], [0.547, 0.182, 0.358], [0.087, 0.453, 0.642], [0.182, 0.913, 0.358], [0.167, 0.167, 0.500], [0.913, 0.547, 0.358], [0.336, 0.336, 0.991], [0.818, 0.087, 0.642], [0.833, 0.833, 0.500], [0.453, 0.818, 0.642]]}

***

--- three ---
{"formula": "ScHgCl3", "functional": "PBE", "state": "optimized geometry", "lattice": [[-3.068, -3.281, -2.861], [4.294, -1.705, -2.649], [0.716, -3.833, 3.628]], "species": ["Sc", "Cl", "Cl", "Hg", "Cl"], "frac_coords": [[0.500, 0.500, 0.500], [0.500, 0.000, 0.000], [0.000, 0.500, 0.000], [0.000, 0.000, 0.000], [0.000, 0.000, 0.500]]}

***

Quick look at relative energies in meV per atom: one 186; two 0; three 1387.

***

--- one ---
{"formula": "HgSe2Cl", "functional": "PBE", "state": "optimized geometry", "lattice": [[-2.235, 1.787, -2.963], [3.479, -2.158, -0.454], [-4.504, -7.077, -0.869]], "species": ["Se", "Se", "Hg", "Cl"], "frac_coords": [[0.500, 0.500, 0.219], [0.000, 0.000, 0.019], [0.500, 0.500, 0.749], [0.000, 0.000, 0.513]]}

***

--- two ---
{"formula": "HgSe2Cl", "functional": "PBE", "state": "optimized geometry", "lattice": [[4.366, 0.093, -0.141], [2.658, 3.465, -0.141], [1.221, 0.619, 7.761]], "species": ["Se", "Cl", "Hg", "Se"], "frac_coords": [[0.917, 0.917, 0.012], [0.569, 0.569, 0.432], [0.270, 0.270, 0.250], [0.745, 0.745, 0.806]]}

***

--- three ---
{"formula": "HgSe2Cl", "functional": "PBE", "state": "optimized geometry", "lattice": [[-0.396, 4.375, 9.677], [-0.512, 1.318, 10.533], [2.292, 2.718, 10.015]], "species": ["Hg", "Se", "Cl", "Se"], "frac_coords": [[0.000, 0.000, 0.000], [0.917, 0.917, 0.917], [0.500, 0.500, 0.500], [0.083, 0.083, 0.083]]}

***

Quick look at relative energies in meV per atom: one 89; two 0; three 433.

***

--- one ---
{"formula": "HgSe2Cl", "functional": "PBE", "state": "optimized geometry", "lattice": [[4.238, 0.014, 0.000], [-2.378, 3.508, 0.000], [0.000, 0.000, 7.567]], "species": ["Cl", "Hg", "Se", "Se"], "frac_coords": [[0.500, 0.500, 0.250], [0.500, 0.500, 0.750], [0.000, 0.000, 0.969], [0.000, 0.000, 0.531]]}

***

--- two ---
{"formula": "HgSe2Cl", "functional": "PBE", "state": "optimized geometry", "lattice": [[-2.934, 1.766, 0.388], [-2.034, -4.621, 5.663], [2.304, 3.091, 3.350]], "species": ["Se", "Hg", "Cl", "Se"], "frac_coords": [[0.000, 0.000, 0.533], [0.500, 0.500, 0.750], [0.500, 0.500, 0.250], [0.000, 0.000, 0.967]]}

***

Quick look at relative energies in meV per atom: one 108; two 0.

***

--- one ---
{"formula": "HgSe2Cl", "functional": "PBE", "state": "optimized geometry", "lattice": [[0.000, 3.509, 3.509], [3.509, 0.000, 3.509], [3.509, 3.509, 0.000]], "species": ["Se", "Cl", "Hg", "Se"], "frac_coords": [[0.250, 0.250, 0.250], [0.000, 0.000, 0.000], [0.500, 0.500, 0.500], [0.750, 0.750, 0.750]]}

***

--- two ---
{"formula": "HgSe2Cl", "functional": "PBE", "state": "optimized geometry", "lattice": [[5.627, 0.000, 0.000], [0.000, 5.627, 0.000], [2.814, 2.814, 7.533]], "species": ["Cl", "Cl", "Se", "Se", "Hg", "Hg", "Se", "Se"], "frac_coords": [[0.250, 0.750, 0.500], [0.500, 0.500, 0.000], [0.375, 0.387, 0.750], [0.137, 0.625, 0.250], [0.750, 0.250, 0.500], [0.000, 0.000, 0.000], [0.613, 0.125, 0.250], [0.875, 0.863, 0.750]]}

***

Quick look at relative energies in meV per atom: one 117; two 0.

***

--- one ---
{"formula": "HgSe2Cl", "functional": "PBE", "state": "optimized geometry", "lattice": [[-4.697, 5.231, -1.350], [-5.537, 3.871, 2.368], [-2.483, 6.467, 1.805]], "species": ["Se", "Cl", "Hg", "Se"], "frac_coords": [[0.490, 0.490, 0.490], [0.250, 0.250, 0.250], [0.750, 0.750, 0.750], [0.010, 0.010, 0.010]]}

***

--- two ---
{"formula": "HgSe2Cl", "functional": "PBE", "state": "optimized geometry", "lattice": [[5.003, 0.000, 0.000], [2.501, 4.332, 0.000], [2.501, 1.444, 4.085]], "species": ["Cl", "Se", "Hg", "Se"], "frac_coords": [[0.500, 0.500, 0.500], [0.000, 0.000, 0.000], [0.750, 0.750, 0.750], [0.250, 0.250, 0.250]]}

***

--- three ---
{"formula": "HgSe2Cl", "functional": "PBE", "state": "optimized geometry", "lattice": [[-0.186, 1.211, 3.884], [-5.256, -3.575, 0.862], [0.107, -4.830, 1.511]], "species": ["Hg", "Se", "Se", "Cl"], "frac_coords": [[0.500, 0.750, 0.750], [0.000, 0.905, 0.984], [0.000, 0.595, 0.516], [0.500, 0.250, 0.250]]}

***

Quick look at relative energies in meV per atom: one 340; two 534; three 0.

***

--- one ---
{"formula": "HgSe2Cl", "functional": "PBE", "state": "optimized geometry", "lattice": [[-4.869, -1.141, -3.055], [1.378, -5.696, -0.010], [-1.806, 4.362, 3.472]], "species": ["Hg", "Se", "Se", "Cl"], "frac_coords": [[0.250, 0.750, 0.500], [0.777, 0.277, 0.500], [0.977, 0.977, 0.000], [0.497, 0.497, 0.000]]}

***

--- two ---
{"formula": "HgSe2Cl", "functional": "PBE", "state": "optimized geometry", "lattice": [[3.901, -10.146, 2.137], [3.358, -10.515, -0.938], [6.072, -9.266, 0.040]], "species": ["Hg", "Cl", "Se", "Se"], "frac_coords": [[0.500, 0.500, 0.500], [0.000, 0.000, 0.000], [0.925, 0.925, 0.925], [0.075, 0.075, 0.075]]}

***

Quick look at relative energies in meV per atom: one 0; two 321.